(1)
Below is a PBEsol-optimized structure of NdCd20Ni2, with properties calculated at the meta-GGA SCAN level.

Cell: 10.8989 10.8989 10.8989 Å, 60.00 60.00 60.00°
Sites, in units of the cell vectors:
Nd 0.1250 0.1250 0.1250
Nd 0.8750 0.8750 0.8750
Cd 0.0000 0.0000 0.0000
Cd 0.0000 0.0000 0.5000
Cd 0.0000 0.5000 0.0000
Cd 0.0561 0.3246 0.3246
Cd 0.0561 0.3246 0.7946
Cd 0.0561 0.7946 0.3246
Cd 0.2054 0.6754 0.6754
Cd 0.2054 0.6754 0.9439
Cd 0.2054 0.9439 0.6754
Cd 0.2386 0.2386 0.5114
Cd 0.2386 0.5114 0.2386
Cd 0.2386 0.5114 0.5114
Cd 0.3246 0.0561 0.3246
Cd 0.3246 0.0561 0.7946
Cd 0.3246 0.3246 0.0561
Cd 0.3246 0.3246 0.7946
Cd 0.3246 0.7946 0.0561
Cd 0.3246 0.7946 0.3246
Cd 0.4886 0.4886 0.7614
Cd 0.4886 0.7614 0.4886
Cd 0.4886 0.7614 0.7614
Cd 0.5000 0.0000 0.0000
Cd 0.5114 0.2386 0.2386
Cd 0.5114 0.2386 0.5114
Cd 0.5114 0.5114 0.2386
Cd 0.6754 0.2054 0.6754
Cd 0.6754 0.2054 0.9439
Cd 0.6754 0.6754 0.2054
Cd 0.6754 0.6754 0.9439
Cd 0.6754 0.9439 0.2054
Cd 0.6754 0.9439 0.6754
Cd 0.7614 0.4886 0.4886
Cd 0.7614 0.4886 0.7614
Cd 0.7614 0.7614 0.4886
Cd 0.7946 0.0561 0.3246
Cd 0.7946 0.3246 0.0561
Cd 0.7946 0.3246 0.3246
Cd 0.9439 0.2054 0.6754
Cd 0.9439 0.6754 0.2054
Cd 0.9439 0.6754 0.6754
Ni 0.0000 0.5000 0.5000
Ni 0.5000 0.0000 0.5000
Ni 0.5000 0.5000 0.0000
Ni 0.5000 0.5000 0.5000

**Mass density**: 9.1 g/cm³
**Total magnetization**: 0.0 Bohr magnetons per cell
**Electronic total energy**: -29.8618 eV/atom
**Calculated formation energy**: -0.1133 eV per atom

=====

(2)
Below is a PBEsol-optimized structure of NdCdNi4, with properties calculated at the meta-GGA SCAN level.

Cell: 4.9557 4.9557 4.9557 Å, 60.00 60.00 60.00°
Sites, in units of the cell vectors:
Nd 0.0000 0.0000 0.0000
Cd 0.7500 0.7500 0.7500
Ni 0.3763 0.3763 0.3763
Ni 0.3763 0.3763 0.8711
Ni 0.3763 0.8711 0.3763
Ni 0.8711 0.3763 0.3763

**Mass density**: 9.5 g/cm³
**Total magnetization**: 0.0 Bohr magnetons per cell
**Electronic total energy**: -23.3661 eV/atom
**Calculated formation energy**: -0.2511 eV per atom

=====

(3)
Below is a PBEsol-optimized structure of NdTiCdSbO7, with properties calculated at the meta-GGA SCAN level.

Cell: 7.2770 7.2770 10.3489 Å, 90.00 90.00 90.00°
Sites, in units of the cell vectors:
Nd 0.0000 0.2618 0.0000
Nd 0.0000 0.7382 0.5000
Nd 0.2618 0.0000 0.7500
Nd 0.7382 0.0000 0.2500
Ti 0.0000 0.2386 0.5000
Ti 0.0000 0.7614 0.0000
Ti 0.2386 0.0000 0.2500
Ti 0.7614 0.0000 0.7500
Cd 0.2645 0.5000 0.7500
Cd 0.5000 0.2645 0.0000
Cd 0.5000 0.7355 0.5000
Cd 0.7355 0.5000 0.2500
Sb 0.2440 0.5000 0.2500
Sb 0.5000 0.2440 0.5000
Sb 0.5000 0.7560 0.0000
Sb 0.7560 0.5000 0.7500
O 0.0454 0.0454 0.3750
O 0.0454 0.9546 0.1250
O 0.0532 0.4446 0.3806
O 0.0532 0.5554 0.1194
O 0.2361 0.2492 0.1776
O 0.2361 0.7508 0.3224
O 0.2492 0.2361 0.5724
O 0.2492 0.7639 0.9276
O 0.2622 0.2622 0.8750
O 0.2622 0.7378 0.6250
O 0.4446 0.0532 0.3694
O 0.4446 0.9468 0.1306
O 0.4492 0.4492 0.3750
O 0.4492 0.5508 0.1250
O 0.5508 0.4492 0.6250
O 0.5508 0.5508 0.8750
O 0.5554 0.0532 0.6306
O 0.5554 0.9468 0.8694
O 0.7378 0.2622 0.1250
O 0.7378 0.7378 0.3750
O 0.7508 0.2361 0.4276
O 0.7508 0.7639 0.0724
O 0.7639 0.2492 0.8224
O 0.7639 0.7508 0.6776
O 0.9468 0.4446 0.6194
O 0.9468 0.5554 0.8806
O 0.9546 0.0454 0.6250
O 0.9546 0.9546 0.8750

**Mass density**: 6.5 g/cm³
**Total magnetization**: 0.0 Bohr magnetons per cell
**Electronic total energy**: -18.1322 eV/atom
**Formation energy from raw total energies**: -2.60 eV/atom

=====

(4)
Below is a PBEsol-optimized structure of NdTiCdSbO7, with properties calculated at the meta-GGA SCAN level.

Cell: 7.2739 7.2739 7.2739 Å, 120.71 118.47 90.72°
Sites, in units of the cell vectors:
Nd 0.0000 0.0000 0.0000
Nd 0.5000 0.0000 0.5000
Ti 0.5000 0.0000 0.0000
Ti 0.5000 0.5000 0.5000
Cd 0.0000 0.0000 0.5000
Cd 0.0000 0.5000 0.0000
Sb 0.0000 0.5000 0.5000
Sb 0.5000 0.5000 0.0000
O 0.1174 0.8674 0.2500
O 0.1713 0.4213 0.7500
O 0.1808 0.4201 0.3552
O 0.1808 0.8256 0.7607
O 0.4264 0.1764 0.2500
O 0.4351 0.1744 0.8552
O 0.4351 0.5799 0.2607
O 0.5649 0.4201 0.7393
O 0.5649 0.8256 0.1448
O 0.5736 0.8236 0.7500
O 0.8192 0.1744 0.2393
O 0.8192 0.5799 0.6448
O 0.8287 0.5787 0.2500
O 0.8826 0.1326 0.7500

**Mass density**: 6.5 g/cm³
**Total magnetization**: 0.0 Bohr magnetons per cell
**Electronic total energy**: -18.1315 eV/atom
**Formation energy from raw total energies**: -2.59 eV/atom

=====

(5)
Below is a PBEsol-optimized structure of NdCd2Pd, with properties calculated at the meta-GGA SCAN level.

Cell: 5.4126 5.4126 8.2296 Å, 90.00 90.00 133.93°
Sites, in units of the cell vectors:
Nd 0.0660 0.9340 0.7500
Nd 0.9340 0.0660 0.2500
Cd 0.3574 0.6426 0.5494
Cd 0.3574 0.6426 0.9506
Cd 0.6426 0.3574 0.0494
Cd 0.6426 0.3574 0.4506
Pd 0.2219 0.7781 0.2500
Pd 0.7781 0.2219 0.7500

**Mass density**: 9.1 g/cm³
**Total magnetization**: 0.0 Bohr magnetons per cell
**Electronic total energy**: -34.9295 eV/atom
**Calculated formation energy**: -0.6332 eV per atom

=====

(6)
Below is a PBEsol-optimized structure of Nd4CdPt, with properties calculated at the meta-GGA SCAN level.

Cell: 9.8315 9.8315 9.8315 Å, 60.00 60.00 60.00°
Sites, in units of the cell vectors:
Nd 0.0572 0.0572 0.4428
Nd 0.0572 0.4428 0.0572
Nd 0.0572 0.4428 0.4428
Nd 0.1868 0.1868 0.8132
Nd 0.1868 0.8132 0.1868
Nd 0.1868 0.8132 0.8132
Nd 0.1963 0.6012 0.6012
Nd 0.4428 0.0572 0.0572
Nd 0.4428 0.0572 0.4428
Nd 0.4428 0.4428 0.0572
Nd 0.6012 0.1963 0.6012
Nd 0.6012 0.6012 0.1963
Nd 0.6012 0.6012 0.6012
Nd 0.8132 0.1868 0.1868
Nd 0.8132 0.1868 0.8132
Nd 0.8132 0.8132 0.1868
Cd 0.5106 0.8298 0.8298
Cd 0.8298 0.5106 0.8298
Cd 0.8298 0.8298 0.5106
Cd 0.8298 0.8298 0.8298
Pt 0.3933 0.3933 0.3933
Pt 0.3933 0.3933 0.8201
Pt 0.3933 0.8201 0.3933
Pt 0.8201 0.3933 0.3933

**Mass density**: 8.7 g/cm³
**Total magnetization**: 0.0 Bohr magnetons per cell
**Electronic total energy**: -46.5078 eV/atom
**Calculated formation energy**: -0.6851 eV per atom

=====

Question: What is the formula in the sixth record?
Answer: Nd4CdPt

=====

Copy entry 2 word for word.
Below is a PBEsol-optimized structure of NdCdNi4, with properties calculated at the meta-GGA SCAN level.

Cell: 4.9557 4.9557 4.9557 Å, 60.00 60.00 60.00°
Sites, in units of the cell vectors:
Nd 0.0000 0.0000 0.0000
Cd 0.7500 0.7500 0.7500
Ni 0.3763 0.3763 0.3763
Ni 0.3763 0.3763 0.8711
Ni 0.3763 0.8711 0.3763
Ni 0.8711 0.3763 0.3763

**Mass density**: 9.5 g/cm³
**Total magnetization**: 0.0 Bohr magnetons per cell
**Electronic total energy**: -23.3661 eV/atom
**Calculated formation energy**: -0.2511 eV per atom

=====

Question: The highest electronic total energy belongs to which entry?
Answer: number 4

=====

Please write out number 5 again, unchanged.
Below is a PBEsol-optimized structure of NdCd2Pd, with properties calculated at the meta-GGA SCAN level.

Cell: 5.4126 5.4126 8.2296 Å, 90.00 90.00 133.93°
Sites, in units of the cell vectors:
Nd 0.0660 0.9340 0.7500
Nd 0.9340 0.0660 0.2500
Cd 0.3574 0.6426 0.5494
Cd 0.3574 0.6426 0.9506
Cd 0.6426 0.3574 0.0494
Cd 0.6426 0.3574 0.4506
Pd 0.2219 0.7781 0.2500
Pd 0.7781 0.2219 0.7500

**Mass density**: 9.1 g/cm³
**Total magnetization**: 0.0 Bohr magnetons per cell
**Electronic total energy**: -34.9295 eV/atom
**Calculated formation energy**: -0.6332 eV per atom